First-principles (PBE with a Hubbard U) data for an optimized crystal structure of CrInO2, as listed in Alexandria via LeMat-Bulk.

Lattice parameters (Å, degrees): 3.332 3.332 5.956 90.00 90.00 120.00
Positions (direct):
1 Cr 0.000 0.000 0.000
2 In 0.667 0.333 0.527
3 O 0.000 0.000 0.347
4 O 0.333 0.667 0.738

Calculated volume in Å³ per atom: 14.3
DOS(E_F) in states/eV per atom: 0.3909
Energy in eV/cell: -24.5
Crystal system: trigonal